P.
## PmTlAsO (PBE)

Data for a relaxed structure of PmTlAsO.

## Properties
The crystal system is orthorhombic. The value obtained for the calculated volume is 207 Å³ per cell. Its space-group type is Pmc2_1.

Lattice parameters (Å, degrees): 4.148 8.233 6.065 90.00 90.00 90.00
Fractional positions:
As 0.000 0.835 0.428
As 0.000 0.165 0.928
Pm 0.000 0.195 0.433
Pm 0.000 0.805 0.933
Tl 0.500 0.619 0.476
Tl 0.500 0.381 0.976
O 0.500 0.303 0.417
O 0.500 0.697 0.917

Q.
## PmTlAsO (PBE)

Data for a relaxed structure of PmTlAsO.

## Properties
The crystal system is tetragonal. The value obtained for the calculated volume is 183 Å³ per cell. Its space-group type is P4/nmm.

Lattice parameters (Å, degrees): 5.988 5.988 5.106 90.00 90.00 90.00
Fractional positions:
O 0.250 0.750 0.000
O 0.750 0.250 0.000
As 0.250 0.250 0.514
As 0.750 0.750 0.486
Pm 0.250 0.750 0.500
Pm 0.750 0.250 0.500
Tl 0.750 0.750 0.987
Tl 0.250 0.250 0.013

Which structure wins on stability? P wins.

P.
## PmTlAsO (PBE)

Data for a relaxed structure of PmTlAsO.

## Properties
The crystal system is tetragonal. The value obtained for the calculated volume is 178 Å³ per cell. Its space-group type is P4/nmm.

Lattice parameters (Å, degrees): 4.272 4.272 9.736 90.00 90.00 90.00
Fractional positions:
As 0.500 0.000 0.721
As 0.000 0.500 0.279
Pm 0.500 0.000 0.107
Pm 0.000 0.500 0.893
Tl 0.000 0.000 0.500
Tl 0.500 0.500 0.500
O 0.000 0.000 0.000
O 0.500 0.500 0.000

Q.
## PmTlAsO (PBE)

Data for a relaxed structure of PmTlAsO.

## Properties
The crystal system is orthorhombic. The value obtained for the calculated volume is 206 Å³ per cell. Its space-group type is Pmc2_1.

Lattice parameters (Å, degrees): 5.767 6.130 5.834 90.00 90.00 90.00
Fractional positions:
Pm 0.500 0.693 0.518
Pm 0.500 0.307 0.018
As 0.000 0.783 0.421
As 0.000 0.217 0.921
O 0.500 0.637 0.886
O 0.500 0.363 0.386
Tl 0.000 0.279 0.428
Tl 0.000 0.721 0.928

Which structure wins on stability? P wins.

P.
## PmTmAsO (PBE)

Data for a relaxed structure of PmTmAsO.

## Properties
The crystal system is orthorhombic. The value obtained for the calculated volume is 194 Å³ per cell. Its space-group type is Pmc2_1.

Lattice parameters (Å, degrees): 4.286 7.451 6.074 90.00 90.00 90.00
Fractional positions:
Pm 0.000 0.704 0.434
Pm 0.000 0.296 0.934
As 0.000 0.319 0.426
As 0.000 0.681 0.926
O 0.500 0.839 0.373
O 0.500 0.161 0.873
Tm 0.500 0.106 0.521
Tm 0.500 0.894 0.021

Q.
## PmTmAsO (PBE)

Data for a relaxed structure of PmTmAsO.

## Properties
The crystal system is tetragonal. The value obtained for the calculated volume is 171 Å³ per cell. Its space-group type is P4/nmm.

Lattice parameters (Å, degrees): 4.372 4.372 8.930 90.00 90.00 90.00
Fractional positions:
As 0.750 0.750 0.304
As 0.250 0.250 0.696
Pm 0.750 0.750 0.891
Pm 0.250 0.250 0.109
O 0.750 0.250 0.000
O 0.250 0.750 0.000
Tm 0.250 0.750 0.500
Tm 0.750 0.250 0.500

R.
## PmTmAsO (PBE)

Data for a relaxed structure of PmTmAsO.

## Properties
The crystal system is tetragonal. The value obtained for the calculated volume is 165 Å³ per cell. Its space-group type is P4/nmm.

Lattice parameters (Å, degrees): 4.264 4.264 9.069 90.00 90.00 90.00
Fractional positions:
As 0.500 0.000 0.720
As 0.000 0.500 0.280
O 0.500 0.500 0.000
O 0.000 0.000 0.000
Pm 0.500 0.500 0.500
Pm 0.000 0.000 0.500
Tm 0.000 0.500 0.906
Tm 0.500 0.000 0.094

Which structure wins on stability? P wins.

P.
## PmZrAsO (PBE)

Data for a relaxed structure of PmZrAsO.

## Properties
The crystal system is orthorhombic. The value obtained for the calculated volume is 183 Å³ per cell. Its space-group type is Pmc2_1.

Lattice parameters (Å, degrees): 4.096 7.486 5.969 90.00 90.00 90.00
Fractional positions:
Pm 0.000 0.780 0.949
Pm 0.000 0.220 0.449
Zr 0.500 0.392 0.006
Zr 0.500 0.608 0.506
As 0.000 0.170 0.944
As 0.000 0.830 0.444
O 0.500 0.651 0.855
O 0.500 0.349 0.355

Q.
## PmZrAsO (PBE)

Data for a relaxed structure of PmZrAsO.

## Properties
The crystal system is tetragonal. The value obtained for the calculated volume is 148 Å³ per cell. Its space-group type is P4/nmm.

Lattice parameters (Å, degrees): 4.129 4.129 8.702 90.00 90.00 90.00
Fractional positions:
O 0.250 0.750 0.000
O 0.750 0.250 0.000
Pm 0.750 0.250 0.500
Pm 0.250 0.750 0.500
As 0.250 0.250 0.746
As 0.750 0.750 0.254
Zr 0.250 0.250 0.105
Zr 0.750 0.750 0.895

R.
## PmZrAsO (PBE)

Data for a relaxed structure of PmZrAsO.

## Properties
The crystal system is orthorhombic. The value obtained for the calculated volume is 168 Å³ per cell. Its space-group type is Pmma.

Lattice parameters (Å, degrees): 4.115 7.806 5.216 90.00 90.00 90.00
Fractional positions:
Zr 0.000 0.757 0.939
Zr 0.000 0.243 0.439
Pm 0.500 0.362 0.938
Pm 0.500 0.638 0.438
As 0.000 0.109 0.938
As 0.000 0.891 0.438
O 0.500 0.672 0.938
O 0.500 0.328 0.438

Which structure wins on stability? P wins.

P.
## PrAs2O (PBE)

Data for a relaxed structure of PrAs2O.

## Properties
The crystal system is tetragonal. The value obtained for the calculated volume is 154 Å³ per cell. Its space-group type is P4/nmm.

Lattice parameters (Å, degrees): 4.719 4.719 6.925 90.00 90.00 90.00
Fractional positions:
As 0.500 0.000 0.358
As 0.000 0.000 0.500
As 0.000 0.500 0.642
As 0.500 0.500 0.500
O 0.000 0.000 0.000
O 0.500 0.500 0.000
Pr 0.000 0.500 0.122
Pr 0.500 0.000 0.878

Q.
## PrAs2O (PBE)

Data for a relaxed structure of PrAs2O.

## Properties
The crystal system is tetragonal. The value obtained for the calculated volume is 165 Å³ per cell. Its space-group type is P4/nmm.

Lattice parameters (Å, degrees): 4.405 4.405 8.502 90.00 90.00 90.00
Fractional positions:
Pr 0.750 0.750 0.881
Pr 0.250 0.250 0.119
O 0.750 0.250 0.000
O 0.250 0.750 0.000
As 0.250 0.250 0.672
As 0.750 0.250 0.500
As 0.750 0.750 0.328
As 0.250 0.750 0.500

Which structure wins on stability? P wins.

P.
## PrAs2O (PBE)

Data for a relaxed structure of PrAs2O.

## Properties
The crystal system is tetragonal. The value obtained for the calculated volume is 166 Å³ per cell. Its space-group type is P4/nmm.

Lattice parameters (Å, degrees): 4.720 4.720 7.446 90.00 90.00 90.00
Fractional positions:
As 0.000 0.500 0.052
As 0.500 0.000 0.277
As 0.500 0.000 0.948
As 0.000 0.500 0.723
O 0.000 0.000 0.000
O 0.500 0.500 0.000
Pr 0.500 0.500 0.500
Pr 0.000 0.000 0.500

Q.
## PrAs2O (PBE)

Data for a relaxed structure of PrAs2O.

## Properties
The crystal system is orthorhombic. The value obtained for the calculated volume is 181 Å³ per cell. Its space-group type is Pmc2_1.

Lattice parameters (Å, degrees): 4.405 6.334 6.495 90.00 90.00 90.00
Fractional positions:
Pr 0.500 0.242 0.952
Pr 0.500 0.758 0.452
O 0.000 0.725 0.316
O 0.000 0.275 0.816
As 0.500 0.728 0.922
As 0.500 0.272 0.422
As 0.000 0.864 0.063
As 0.000 0.136 0.563

Which structure wins on stability? Q wins.

P.
## PrSiAsO (PBE)

Data for a relaxed structure of PrSiAsO.

## Properties
The crystal system is orthorhombic. The value obtained for the calculated volume is 171 Å³ per cell. Its space-group type is Pmc2_1.

Lattice parameters (Å, degrees): 3.839 6.185 7.222 90.00 90.00 90.00
Fractional positions:
As 0.000 0.254 0.403
As 0.000 0.746 0.903
O 0.500 0.255 0.787
O 0.500 0.745 0.287
Si 0.500 0.880 0.084
Si 0.500 0.120 0.584
Pr 0.000 0.253 0.979
Pr 0.000 0.747 0.479

Q.
## PrSiAsO (PBE)

Data for a relaxed structure of PrSiAsO.

## Properties
The crystal system is triclinic. The value obtained for the calculated volume is 148 Å³ per cell. Its space-group type is P1.

Lattice parameters (Å, degrees): 4.353 4.553 7.450 89.82 89.65 89.82
Fractional positions:
O 0.238 0.428 0.563
O 0.760 0.426 0.062
As 0.265 0.985 0.230
As 0.733 0.985 0.728
Pr 0.258 0.536 0.898
Pr 0.743 0.534 0.397
Si 0.234 0.053 0.564
Si 0.767 0.051 0.062

Which structure wins on stability? P wins.

P.
## PrSiAsO (PBE)

Data for a relaxed structure of PrSiAsO.

## Properties
The crystal system is tetragonal. The value obtained for the calculated volume is 174 Å³ per cell. Its space-group type is P4/nmm.

Lattice parameters (Å, degrees): 6.025 6.025 4.793 90.00 90.00 90.00
Fractional positions:
Si 0.750 0.750 0.994
Si 0.250 0.250 0.006
Pr 0.750 0.250 0.500
Pr 0.250 0.750 0.500
As 0.750 0.750 0.494
As 0.250 0.250 0.506
O 0.250 0.750 0.000
O 0.750 0.250 0.000

Q.
## PrSiAsO (PBE)

Data for a relaxed structure of PrSiAsO.

## Properties
The crystal system is tetragonal. The value obtained for the calculated volume is 158 Å³ per cell. Its space-group type is P4/nmm.

Lattice parameters (Å, degrees): 4.215 4.215 8.900 90.00 90.00 90.00
Fractional positions:
As 0.750 0.750 0.334
As 0.250 0.250 0.666
Pr 0.250 0.250 0.126
Pr 0.750 0.750 0.874
Si 0.750 0.250 0.500
Si 0.250 0.750 0.500
O 0.250 0.750 0.000
O 0.750 0.250 0.000

Which structure wins on stability? Q wins.